Record 1
# Nb2AgTe2 | OQMD | PBE | relaxed
# E_tot: -5.73 eV/atom
# Relative energy among the computed polymorphs: 0.0 kJ per mole of atoms
# SG: I4/mmm
# Magnetic moment: 0.002 μB/atom
data_Nb2AgTe2
_cell_length_a 7.5132
_cell_length_b 7.5132
_cell_length_c 7.5132
_cell_angle_alpha 148.12
_cell_angle_beta 148.12
_cell_angle_gamma 45.71
_symmetry_space_group_name_H-M 'P 1'
_symmetry_Int_Tables_number 1
loop_
_symmetry_equiv_pos_as_xyz
'x,y,z'
loop_
_atom_site_label
_atom_site_fract_x
_atom_site_fract_y
_atom_site_fract_z
_atom_site_occupancy
Te1 0.6135 0.6135 0.0000 1
Te2 0.3865 0.3865 0.0000 1
Ag1 0.0000 0.0000 0.0000 1
Nb1 0.7500 0.2500 0.5000 1
Nb2 0.2500 0.7500 0.5000 1



Record 2
# ThNbAg | OQMD | PBE | relaxed
# Calculated formation energy: 2.28 eV/f.u.
# E_tot: -6.02 eV/atom
# Relative energy among the computed polymorphs: 0.0 kJ per mole of atoms
# SG: F-43m
# Magnetic moment: 0.431 μB/atom
data_ThNbAg
_cell_length_a 4.8050
_cell_length_b 4.8050
_cell_length_c 4.8050
_cell_angle_alpha 60.00
_cell_angle_beta 60.00
_cell_angle_gamma 60.00
_symmetry_space_group_name_H-M 'P 1'
_symmetry_Int_Tables_number 1
loop_
_symmetry_equiv_pos_as_xyz
'x,y,z'
loop_
_atom_site_label
_atom_site_fract_x
_atom_site_fract_y
_atom_site_fract_z
_atom_site_occupancy
Th1 0.7500 0.7500 0.7500 1
Ag1 0.0000 0.0000 0.0000 1
Nb1 0.2500 0.2500 0.2500 1



Record 3
# NbTlAg2 | OQMD | PBE | relaxed
# E_tot: -4.08 eV/atom
# SG: F-43m
# Magnetic moment: 0.032 μB/atom
data_NbTlAg2
_cell_length_a 4.7686
_cell_length_b 4.7686
_cell_length_c 4.7686
_cell_angle_alpha 60.00
_cell_angle_beta 60.00
_cell_angle_gamma 60.00
_symmetry_space_group_name_H-M 'P 1'
_symmetry_Int_Tables_number 1
loop_
_symmetry_equiv_pos_as_xyz
'x,y,z'
loop_
_atom_site_label
_atom_site_fract_x
_atom_site_fract_y
_atom_site_fract_z
_atom_site_occupancy
Nb1 0.2500 0.2500 0.2500 1
Tl1 0.5000 0.5000 0.5000 1
Ag1 0.7500 0.7500 0.7500 1
Ag2 0.0000 0.0000 0.0000 1



Record 4
# NbTl2Ag | OQMD | PBE | relaxed
# E_tot: -3.73 eV/atom
# SG: F-43m
# Magnetic moment: 0.516 μB/atom
data_NbTl2Ag
_cell_length_a 5.0119
_cell_length_b 5.0119
_cell_length_c 5.0119
_cell_angle_alpha 60.00
_cell_angle_beta 60.00
_cell_angle_gamma 60.00
_symmetry_space_group_name_H-M 'P 1'
_symmetry_Int_Tables_number 1
loop_
_symmetry_equiv_pos_as_xyz
'x,y,z'
loop_
_atom_site_label
_atom_site_fract_x
_atom_site_fract_y
_atom_site_fract_z
_atom_site_occupancy
Ag1 0.7500 0.7500 0.7500 1
Tl1 0.2500 0.2500 0.2500 1
Tl2 0.5000 0.5000 0.5000 1
Nb1 0.0000 0.0000 0.0000 1



Record 5
# Nb2TlAg | OQMD | PBE | relaxed
# E_tot: -5.75 eV/atom
# SG: F-43m
# Magnetic moment: 0.010 μB/atom
data_Nb2TlAg
_cell_length_a 4.7909
_cell_length_b 4.7909
_cell_length_c 4.7909
_cell_angle_alpha 60.00
_cell_angle_beta 60.00
_cell_angle_gamma 60.00
_symmetry_space_group_name_H-M 'P 1'
_symmetry_Int_Tables_number 1
loop_
_symmetry_equiv_pos_as_xyz
'x,y,z'
loop_
_atom_site_label
_atom_site_fract_x
_atom_site_fract_y
_atom_site_fract_z
_atom_site_occupancy
Nb1 0.0000 0.0000 0.0000 1
Nb2 0.7500 0.7500 0.7500 1
Tl1 0.5000 0.5000 0.5000 1
Ag1 0.2500 0.2500 0.2500 1



Record 6
# UNbAg | OQMD | PBE | relaxed
# Calculated formation energy: 3.76 eV/f.u.
# E_tot: -6.82 eV/atom
# Relative energy among the computed polymorphs: 24.0 kJ per mole of atoms
# SG: F-43m
# Magnetic moment: 0.091 μB/atom
data_UNbAg
_cell_length_a 4.5920
_cell_length_b 4.5920
_cell_length_c 4.5920
_cell_angle_alpha 60.00
_cell_angle_beta 60.00
_cell_angle_gamma 60.00
_symmetry_space_group_name_H-M 'P 1'
_symmetry_Int_Tables_number 1
loop_
_symmetry_equiv_pos_as_xyz
'x,y,z'
loop_
_atom_site_label
_atom_site_fract_x
_atom_site_fract_y
_atom_site_fract_z
_atom_site_occupancy
U1 0.0000 0.0000 0.0000 1
Nb1 0.7500 0.7500 0.7500 1
Ag1 0.2500 0.2500 0.2500 1



Record 7
# UNbAg | OQMD | PBE | relaxed
# Calculated formation energy: 3.01 eV/f.u.
# E_tot: -7.07 eV/atom
# Relative energy among the computed polymorphs: 0.0 kJ per mole of atoms
# SG: F-43m
# Magnetic moment: 0.030 μB/atom
data_UNbAg
_cell_length_a 4.5461
_cell_length_b 4.5461
_cell_length_c 4.5461
_cell_angle_alpha 60.00
_cell_angle_beta 60.00
_cell_angle_gamma 60.00
_symmetry_space_group_name_H-M 'P 1'
_symmetry_Int_Tables_number 1
loop_
_symmetry_equiv_pos_as_xyz
'x,y,z'
loop_
_atom_site_label
_atom_site_fract_x
_atom_site_fract_y
_atom_site_fract_z
_atom_site_occupancy
Ag1 0.0000 0.0000 0.0000 1
U1 0.5000 0.5000 0.5000 1
Nb1 0.7500 0.7500 0.7500 1



Record 8
# Nb2Ag3W | OQMD | PBE | relaxed
# Calculated formation energy: 5.16 eV/f.u.
# E_tot: -6.08 eV/atom
# SG: P6/mmm
# Magnetic moment: 0.048 μB/atom
data_Nb2Ag3W
_cell_length_a 5.1029
_cell_length_b 5.1029
_cell_length_c 5.1020
_cell_angle_alpha 90.00
_cell_angle_beta 90.00
_cell_angle_gamma 120.00
_symmetry_space_group_name_H-M 'P 1'
_symmetry_Int_Tables_number 1
loop_
_symmetry_equiv_pos_as_xyz
'x,y,z'
loop_
_atom_site_label
_atom_site_fract_x
_atom_site_fract_y
_atom_site_fract_z
_atom_site_occupancy
Nb1 0.3333 0.6667 0.4997 1
Nb2 0.6667 0.3333 0.5003 1
Ag1 0.5000 0.0000 0.0000 1
Ag2 0.0000 0.5000 0.0000 1
Ag3 0.5000 0.5000 0.0000 1
W1 0.0000 0.0000 0.5000 1



Record 9
# YNb2Ag | OQMD | PBE | relaxed
# Calculated formation energy: 1.04 eV/f.u.
# E_tot: -7.11 eV/atom
# SG: F-43m
# Magnetic moment: 0.002 μB/atom
data_YNb2Ag
_cell_length_a 4.8428
_cell_length_b 4.8428
_cell_length_c 4.8428
_cell_angle_alpha 60.00
_cell_angle_beta 60.00
_cell_angle_gamma 60.00
_symmetry_space_group_name_H-M 'P 1'
_symmetry_Int_Tables_number 1
loop_
_symmetry_equiv_pos_as_xyz
'x,y,z'
loop_
_atom_site_label
_atom_site_fract_x
_atom_site_fract_y
_atom_site_fract_z
_atom_site_occupancy
Y1 0.7500 0.7500 0.7500 1
Nb1 0.2500 0.2500 0.2500 1
Nb2 0.0000 0.0000 0.0000 1
Ag1 0.5000 0.5000 0.5000 1



Record 10
# YNbAg2 | OQMD | PBE | relaxed
# Calculated formation energy: 1.41 eV/f.u.
# E_tot: -5.20 eV/atom
# SG: F-43m
# Magnetic moment: 0.579 μB/atom
data_YNbAg2
_cell_length_a 4.8729
_cell_length_b 4.8729
_cell_length_c 4.8729
_cell_angle_alpha 60.00
_cell_angle_beta 60.00
_cell_angle_gamma 60.00
_symmetry_space_group_name_H-M 'P 1'
_symmetry_Int_Tables_number 1
loop_
_symmetry_equiv_pos_as_xyz
'x,y,z'
loop_
_atom_site_label
_atom_site_fract_x
_atom_site_fract_y
_atom_site_fract_z
_atom_site_occupancy
Y1 0.2500 0.2500 0.2500 1
Nb1 0.5000 0.5000 0.5000 1
Ag1 0.0000 0.0000 0.0000 1
Ag2 0.7500 0.7500 0.7500 1



Record 11
# YNb2Ag | OQMD | PBE | relaxed
# Calculated formation energy: 1.04 eV/f.u.
# E_tot: -7.11 eV/atom
# SG: F-43m
# Magnetic moment: 0.002 μB/atom
data_YNb2Ag
_cell_length_a 4.8429
_cell_length_b 4.8429
_cell_length_c 4.8429
_cell_angle_alpha 60.00
_cell_angle_beta 60.00
_cell_angle_gamma 60.00
_symmetry_space_group_name_H-M 'P 1'
_symmetry_Int_Tables_number 1
loop_
_symmetry_equiv_pos_as_xyz
'x,y,z'
loop_
_atom_site_label
_atom_site_fract_x
_atom_site_fract_y
_atom_site_fract_z
_atom_site_occupancy
Ag1 0.2500 0.2500 0.2500 1
Y1 0.0000 0.0000 0.0000 1
Nb1 0.7500 0.7500 0.7500 1
Nb2 0.5000 0.5000 0.5000 1



Record 12
# NbZnAg2 | OQMD | PBE | relaxed
# Calculated formation energy: 1.00 eV/f.u.
# E_tot: -4.00 eV/atom
# SG: F-43m
# Magnetic moment: 0.014 μB/atom
data_NbZnAg2
_cell_length_a 4.5822
_cell_length_b 4.5822
_cell_length_c 4.5822
_cell_angle_alpha 60.00
_cell_angle_beta 60.00
_cell_angle_gamma 60.00
_symmetry_space_group_name_H-M 'P 1'
_symmetry_Int_Tables_number 1
loop_
_symmetry_equiv_pos_as_xyz
'x,y,z'
loop_
_atom_site_label
_atom_site_fract_x
_atom_site_fract_y
_atom_site_fract_z
_atom_site_occupancy
Ag1 0.7500 0.7500 0.7500 1
Ag2 0.0000 0.0000 0.0000 1
Nb1 0.5000 0.5000 0.5000 1
Zn1 0.2500 0.2500 0.2500 1